Record 1
First-principles (PBE) data for a relaxed Ba3CaI8 crystal, as listed in the Alexandria database.

CIF file:
```
data_Ba3CaI8
_chemical_formula_sum 'Ba3 Ca1 I8'
_cell_length_a 10.078
_cell_length_b 10.078
_cell_length_c 10.078
_cell_angle_alpha 131.74
_cell_angle_beta 131.74
_cell_angle_gamma 70.65
_space_group_name_H-M_alt 'P 1'
_space_group_IT_number 1
loop_
_space_group_symop_operation_xyz
'x,y,z'
loop_
_atom_site_label
_atom_site_fract_x
_atom_site_fract_y
_atom_site_fract_z
Ba1 0.750 0.250 0.500
Ba2 0.500 0.500 0.000
Ba3 0.250 0.750 0.500
Ca1 0.000 0.000 0.000
I1 0.637 0.121 0.000
I2 0.121 0.121 0.484
I3 0.363 0.363 0.484
I4 0.879 0.363 0.000
I5 0.121 0.637 0.000
I6 0.637 0.637 0.516
I7 0.879 0.879 0.516
I8 0.363 0.879 0.000
```

Properties
Energy relative to the elements, uncorrected (meV per atom): -1694
E_tot (eV per atom): -3.375
Crystal system: tetragonal

***

Record 2
First-principles (PBE) data for a relaxed ZrIr2Ru crystal, as listed in the Alexandria database.

CIF file:
```
data_ZrIr2Ru
_chemical_formula_sum 'Zr1 Ir2 Ru1'
_cell_length_a 4.858
_cell_length_b 4.858
_cell_length_c 4.899
_cell_angle_alpha 80.10
_cell_angle_beta 80.10
_cell_angle_gamma 34.26
_space_group_name_H-M_alt 'P 1'
_space_group_IT_number 1
loop_
_space_group_symop_operation_xyz
'x,y,z'
loop_
_atom_site_label
_atom_site_fract_x
_atom_site_fract_y
_atom_site_fract_z
Ir1 0.996 0.996 0.014
Ir2 0.248 0.248 0.264
Ru1 0.506 0.506 0.466
Zr1 0.749 0.749 0.756
```

Properties
E_tot (eV per atom): -9.217
DFT formation energy (eV per atom): -0.33
Crystal system: monoclinic
Distance to the lowest polymorph of the same formula (meV/atom): 200

***

Record 3
First-principles (PBE) data for a relaxed Cs2IBr crystal, as listed in the Alexandria database.

CIF file:
```
data_Cs2IBr
_chemical_formula_sum 'Cs2 I1 Br1'
_cell_length_a 12.168
_cell_length_b 12.168
_cell_length_c 12.168
_cell_angle_alpha 123.61
_cell_angle_beta 111.00
_cell_angle_gamma 95.06
_space_group_name_H-M_alt 'P 1'
_space_group_IT_number 1
loop_
_space_group_symop_operation_xyz
'x,y,z'
loop_
_atom_site_label
_atom_site_fract_x
_atom_site_fract_y
_atom_site_fract_z
Cs1 0.762 0.000 0.762
Cs2 0.238 0.000 0.238
I1 0.500 0.000 0.500
Br1 0.000 0.000 0.000
```

Properties
Energy relative to the elements, uncorrected (meV per atom): -1275
E_tot (eV per atom): -2.508
Crystal system: orthorhombic
Distance to the lowest polymorph of the same formula (meV/atom): 390

***

Record 4
First-principles (PBE) data for a relaxed LaPm4PrTm2 crystal, as listed in the Alexandria database.

CIF file:
```
data_LaPm4PrTm2
_chemical_formula_sum 'La1 Pm4 Pr1 Tm2'
_cell_length_a 5.133
_cell_length_b 6.297
_cell_length_c 9.610
_cell_angle_alpha 89.93
_cell_angle_beta 74.51
_cell_angle_gamma 65.95
_space_group_name_H-M_alt 'P 1'
_space_group_IT_number 1
loop_
_space_group_symop_operation_xyz
'x,y,z'
loop_
_atom_site_label
_atom_site_fract_x
_atom_site_fract_y
_atom_site_fract_z
La1 0.000 0.000 0.000
Pm1 0.125 0.126 0.625
Pm2 0.375 0.375 0.874
Pm3 0.875 0.874 0.375
Pm4 0.625 0.625 0.126
Pr1 0.500 0.500 0.500
Tm1 0.751 0.749 0.749
Tm2 0.249 0.251 0.251
```

Properties
E_tot (eV per atom): -4.683
DFT formation energy (eV per atom): 0.02
Crystal system: monoclinic

***

Record 5
First-principles (PBE) data for a relaxed CsNi2PSe crystal, as listed in the Alexandria database.

CIF file:
```
data_CsNi2PSe
_chemical_formula_sum 'Cs2 Ni4 P2 Se2'
_cell_length_a 3.966
_cell_length_b 7.799
_cell_length_c 7.995
_cell_angle_alpha 105.81
_cell_angle_beta 90.00
_cell_angle_gamma 90.00
_space_group_name_H-M_alt 'P 1'
_space_group_IT_number 1
loop_
_space_group_symop_operation_xyz
'x,y,z'
loop_
_atom_site_label
_atom_site_fract_x
_atom_site_fract_y
_atom_site_fract_z
Cs1 0.250 0.055 0.747
Cs2 0.750 0.945 0.253
Ni1 0.750 0.493 0.383
Ni2 0.250 0.507 0.617
Ni3 0.750 0.498 0.874
Ni4 0.250 0.502 0.126
P1 0.250 0.632 0.403
P2 0.750 0.368 0.597
Se1 0.250 0.677 0.916
Se2 0.750 0.323 0.084
```

Properties
Energy relative to the elements, uncorrected (meV per atom): -464
E_tot (eV per atom): -4.726
Crystal system: monoclinic

***

Record 6
First-principles (PBE) data for a relaxed LaTm2Rh crystal, as listed in the Alexandria database.

CIF file:
```
data_LaTm2Rh
_chemical_formula_sum 'La4 Tm8 Rh4'
_cell_length_a 6.442
_cell_length_b 7.207
_cell_length_c 9.460
_cell_angle_alpha 90.00
_cell_angle_beta 90.00
_cell_angle_gamma 90.00
_space_group_name_H-M_alt 'P 1'
_space_group_IT_number 1
loop_
_space_group_symop_operation_xyz
'x,y,z'
loop_
_atom_site_label
_atom_site_fract_x
_atom_site_fract_y
_atom_site_fract_z
La1 0.636 0.539 0.250
La2 0.864 0.039 0.250
La3 0.364 0.461 0.750
La4 0.136 0.961 0.750
Tm1 0.167 0.675 0.066
Tm2 0.333 0.175 0.434
Tm3 0.833 0.325 0.566
Tm4 0.667 0.825 0.934
Tm5 0.833 0.325 0.934
Tm6 0.667 0.825 0.566
Tm7 0.167 0.675 0.434
Tm8 0.333 0.175 0.066
Rh1 0.069 0.379 0.250
Rh2 0.431 0.879 0.250
Rh3 0.931 0.621 0.750
Rh4 0.569 0.121 0.750
```

Properties
E_tot (eV per atom): -5.833
DFT formation energy (eV per atom): -0.53
Crystal system: orthorhombic
Distance to the lowest polymorph of the same formula (meV/atom): 0